First-principles (GGA-PBE) data for an optimized crystal structure of TiGeS2, as listed in Alexandria via LeMat-Bulk.

The structure in POSCAR format:
```
TiGeS2
1.0
5.9551 0.0000 0.0000
0.0000 5.9551 0.0000
2.9775 2.9775 5.4302
Ge S Ti
2 4 2
Direct
0.0000 0.0000 0.0000
0.7500 0.2500 0.5000
0.5859 0.1250 0.2500
0.1641 0.6250 0.2500
0.3750 0.4141 0.7500
0.8750 0.8359 0.7500
0.5000 0.5000 0.0000
0.2500 0.7500 0.5000
```

Values from the calculation:
Calculated density in Mg/m³: 3.18
Uncorrected energy in eV per atom: -5.608
Formation energy without anion corrections in meV/atom: -416



First-principles (GGA-PBE) data for an optimized crystal structure of TiGeS3, as listed in Alexandria via LeMat-Bulk.

The structure in POSCAR format:
```
TiGeS3
1.0
3.4875 0.0000 0.0000
0.0000 6.5428 0.0197
0.0000 0.1071 9.4383
Ti Ge S
2 2 6
Direct
0.2500 0.9356 0.1593
0.7500 0.0644 0.8407
0.2500 0.5541 0.8101
0.7500 0.4459 0.1899
0.2500 0.2295 0.9907
0.7500 0.7705 0.0093
0.2500 0.6266 0.3112
0.7500 0.3734 0.6888
0.2500 0.9043 0.7033
0.7500 0.0957 0.2967
```

Values from the calculation:
Calculated density in Mg/m³: 3.34
Uncorrected energy in eV per atom: -5.826
Energy relative to the lowest polymorph listed for this composition in eV/atom: 0.041
Formation energy without anion corrections in meV/atom: -847



First-principles (GGA-PBE) data for an optimized crystal structure of TiGeS3, as listed in Alexandria via LeMat-Bulk.

The structure in POSCAR format:
```
TiGeS3
1.0
-4.4919 1.1794 0.0223
-1.1745 -4.4638 -0.5133
-0.1089 -0.5021 4.6157
Ge S Ti
1 3 1
Direct
0.0000 0.0000 0.0000
0.0000 0.5000 0.0000
0.0000 0.0000 0.5000
0.5000 0.0000 0.0000
0.5000 0.5000 0.5000
```

Values from the calculation:
Calculated density in Mg/m³: 3.59
Uncorrected energy in eV per atom: -4.754
Energy relative to the lowest polymorph listed for this composition in eV/atom: 1.113
Formation energy without anion corrections in meV/atom: 224



- Which formula does entry 2 have?
  TiGeS3